No. 1
Ba10Na2Rh3 (GGA-PBE, relaxed); energy = -3.07 eV/atom; total magnetization = 0.0 μB/f.u.; ΔE_f = -141 meV per atom; mass density = 3.87 g cm⁻³
1.0
8.9344 0.0000 0.0000
-0.0024 12.1301 0.0000
-4.4635 -5.4956 13.6742
Ba Na Rh
20 4 6
Cartesian
0.0000 0.0000 0.0000
-2.2315 -0.6830 7.2052
0.0789 5.3983 2.9696
0.0110 10.0340 3.7978
0.1358 3.3172 6.8360
2.2331 8.4790 0.3956
0.0115 -3.3996 9.8782
2.2367 1.7335 3.2599
0.0750 1.2357 10.7050
2.2343 7.2612 6.3713
4.4672 0.0000 0.0000
2.2342 -0.6266 7.3028
4.3935 5.3989 2.9692
2.2318 4.9010 10.4142
4.4570 10.0341 3.7960
2.2354 -1.8444 13.2785
4.3327 3.3173 6.8382
4.4575 -3.3994 9.8763
4.3896 1.2363 10.7045
6.7000 7.3175 6.4689
-2.2365 4.9277 10.2180
-2.2359 -1.5482 13.1573
6.7044 8.1828 0.5169
6.7050 1.7069 3.4562
-0.0264 9.3804 6.8382
2.2325 11.0606 1.8946
2.2373 4.4279 4.7700
2.2312 2.2067 8.9042
2.2360 -4.4260 11.7796
4.4949 -2.7459 6.8360



No. 2
Be2Nb2OsRu5 (GGA-PBE, relaxed); energy = -8.70 eV/atom; total magnetization = 0.0 μB/f.u.; ΔE_f = -176 meV per atom; mass density = 10.94 g cm⁻³
1.0
9.4827 0.0000 0.0000
0.0000 9.4827 0.0000
0.0000 0.0000 3.0372
Be Nb Os Ru
4 4 2 10
Cartesian
1.1375 3.6039 0.0000
3.6039 8.3452 0.0000
5.8788 1.1375 0.0000
8.3452 5.8788 0.0000
1.6604 6.4017 0.0000
3.0810 1.6604 0.0000
6.4017 7.8223 0.0000
7.8223 3.0810 0.0000
0.0000 0.0000 0.0000
4.7414 4.7414 0.0000
0.0000 4.7414 1.5186
0.6980 2.0066 1.5186
2.0066 8.7847 1.5186
2.7347 4.0433 1.5186
4.0433 6.7480 1.5186
4.7414 0.0000 1.5186
5.4394 2.7347 1.5186
6.7480 5.4394 1.5186
7.4761 0.6980 1.5186
8.7847 7.4761 1.5186



No. 3
PrHo2Tm8 (GGA-PBE, relaxed); ΔE to the lowest computed polymorph = 91.2 meV/atom; energy = -4.40 eV/atom; total magnetization = 0.0 μB/f.u.; ΔE_f = 118 meV per atom; mass density = 8.78 g cm⁻³
1.0
-2.7042 4.0097 7.9457
2.7042 -4.0097 7.9457
2.7042 4.0097 -7.9457
Pr Ho Tm
1 2 8
Cartesian
0.0000 0.0000 0.0000
0.0000 0.0000 4.7764
0.0000 0.0000 11.1150
2.7042 -1.6626 5.7030
2.7042 0.0000 2.5951
2.7042 2.3678 0.0000
0.0000 2.3471 2.2428
2.7042 1.6626 5.7030
0.0000 1.6418 7.9457
0.0000 4.0097 5.3507
0.0000 5.6722 2.2428



No. 4
Cr2RhBr (GGA-PBE, relaxed); ΔE to the lowest computed polymorph = 280.0 meV/atom; energy = -6.46 eV/atom; total magnetization = 4.0 μB/f.u.; mass density = 7.88 g cm⁻³; energy relative to the elements, uncorrected = 611 meV/atom
1.0
8.5905 0.0000 0.0000
0.0000 2.9391 0.0000
-0.5293 0.0000 4.7873
Cr Rh Br
4 2 2
Cartesian
0.0000 0.0000 0.0000
1.8486 1.4696 1.2212
4.2952 1.4696 0.0000
6.1438 0.0000 1.2212
1.8139 0.0000 3.8517
6.1092 1.4696 3.8517
3.8135 0.0000 2.0901
8.1087 1.4696 2.0901



No. 5
CdAsP2 (GGA-PBE, relaxed); ΔE to the lowest computed polymorph = 38.2 meV/atom; energy = -3.91 eV/atom; total magnetization = 0.0 μB/f.u.; ΔE_f = 188 meV per atom; mass density = 4.19 g cm⁻³
1.0
5.7650 0.0000 0.0000
0.0000 5.7650 0.0000
0.0000 0.0000 11.8831
Cd As P
4 4 8
Cartesian
0.0000 0.0000 0.0000
0.0000 2.8825 2.9708
2.8825 0.0000 8.9123
2.8825 2.8825 5.9415
0.0000 0.0000 5.9415
0.0000 2.8825 8.9123
2.8825 0.0000 2.9708
2.8825 2.8825 0.0000
1.2891 1.4413 7.4269
1.4413 4.1716 10.3977
1.4413 4.4759 4.4561
1.5934 1.4413 1.4854
4.1716 4.3238 1.4854
4.3238 1.2891 4.4561
4.3238 1.5934 10.3977
4.4759 4.3238 7.4269



No. 6
ZrBiC2 (GGA-PBE, relaxed); energy = -6.95 eV/atom; total magnetization = 0.0 μB/f.u.; ΔE_f = 774 meV per atom; mass density = 7.12 g cm⁻³
1.0
5.3665 0.0000 0.0000
0.0000 5.3665 0.0000
0.0000 0.0000 10.5032
Zr Bi C
4 4 8
Cartesian
0.0000 0.0000 0.0000
0.0000 2.6833 2.6258
2.6833 0.0000 7.8774
2.6833 2.6833 5.2516
0.0000 0.0000 5.2516
0.0000 2.6833 7.8774
2.6833 0.0000 2.6258
2.6833 2.6833 0.0000
1.1740 1.3416 1.3129
1.3416 3.8573 3.9387
1.3416 4.1925 9.1903
1.5093 1.3416 6.5645
3.8573 4.0249 6.5645
4.0249 1.1740 9.1903
4.0249 1.5093 3.9387
4.1925 4.0249 1.3129



| no. | Fermi-level density of states (states/eV per cell) |
| --- | --- |
| 1 | 24.96 |
| 2 | 11.15 |
| 3 | 14.40 |
| 4 | 8.44 |
| 5 | 10.07 |
| 6 | 12.43 |